A plane-wave DFT calculation with PBE was carried out for a relaxed Cs2N3 crystal.

POSCAR file:
```
Cs2N3
1.0
-6.355 6.261 0.364
2.340 -1.374 -8.506
-3.110 -7.604 3.497
N Cs
12 8
Direct
0.750 0.183 0.933
0.317 0.250 0.067
0.250 0.433 0.683
0.817 0.567 0.750
0.683 0.933 0.250
0.433 0.250 0.183
0.933 0.683 0.750
0.250 0.317 0.567
0.067 0.750 0.317
0.567 0.817 0.250
0.750 0.067 0.817
0.183 0.750 0.433
0.500 0.115 0.500
0.500 0.615 0.500
0.885 0.385 0.385
0.115 0.500 0.000
0.000 0.000 0.115
0.385 0.885 0.885
0.615 0.500 0.000
0.000 0.000 0.615
```

Summary:
ρ = 3.73 g cm⁻³
E_form (uncorrected) = -0.0691 eV/atom
size of the total moment = 2.0 μB per formula unit

***

A plane-wave DFT calculation with PBE was carried out for a relaxed CsN2 crystal.

POSCAR file:
```
CsN2
1.0
-3.196 3.177 5.460
-6.111 -0.002 -3.576
-1.602 -6.327 2.743
N Cs
8 4
Direct
0.452 0.452 0.452
0.952 0.452 0.048
0.048 0.952 0.452
0.452 0.048 0.952
0.952 0.048 0.548
0.548 0.548 0.548
0.548 0.952 0.048
0.048 0.548 0.952
0.000 0.000 0.000
0.500 0.500 0.000
0.000 0.500 0.500
0.500 0.000 0.500
```

Summary:
ρ = 3.01 g cm⁻³
E_form (uncorrected) = -0.0819 eV/atom
ΔE to the lowest computed polymorph = 2.089 kcal/mol of atoms
size of the total moment = 1.0 μB per formula unit

***

A plane-wave DFT calculation with PBE was carried out for a relaxed CsN crystal.

POSCAR file:
```
CsN
1.0
-4.494 -5.909 7.633
5.812 -0.530 3.012
-1.647 6.932 4.397
Cs N
8 8
Direct
0.125 0.750 0.230
0.375 0.250 0.730
0.624 0.750 0.729
0.875 0.250 0.770
0.124 0.750 0.771
0.625 0.750 0.270
0.376 0.250 0.271
0.876 0.250 0.229
0.362 0.841 0.501
0.362 0.659 0.501
0.638 0.341 0.499
0.138 0.159 0.001
0.138 0.341 0.001
0.862 0.659 0.999
0.638 0.159 0.499
0.862 0.841 0.999
```

Summary:
ρ = 3.33 g cm⁻³
E_form (uncorrected) = -0.0234 eV/atom
ΔE to the lowest computed polymorph = 1.567 kcal/mol of atoms
size of the total moment = 0.4 μB per formula unit

***

A plane-wave DFT calculation with PBE was carried out for a relaxed CsN2 crystal.

POSCAR file:
```
CsN2
1.0
3.069 0.000 0.000
0.000 3.069 0.000
-1.534 -1.534 5.402
Cs N
1 2
Direct
0.000 0.000 0.000
0.729 0.729 0.459
0.271 0.271 0.541
```

Summary:
ρ = 5.25 g cm⁻³
E_form (uncorrected) = 2.4684 eV/atom
ΔE to the lowest computed polymorph = 60.900 kcal/mol of atoms
size of the total moment = 0.0 μB per formula unit

***

A plane-wave DFT calculation with PBE was carried out for a relaxed CsN crystal.

POSCAR file:
```
CsN
1.0
-1.061 -4.288 -1.423
3.395 -2.633 -2.139
2.629 -5.167 7.261
N Cs
2 2
Direct
0.453 0.124 0.964
0.547 0.876 0.036
0.215 0.752 0.783
0.785 0.248 0.217
```

Summary:
ρ = 2.76 g cm⁻³
E_form (uncorrected) = -0.0914 eV/atom
ΔE to the lowest computed polymorph = 0.000 kcal/mol of atoms
size of the total moment = 0.2 μB per formula unit

***

A plane-wave DFT calculation with PBE was carried out for a relaxed CsNaN2 crystal.

POSCAR file:
```
CsNaN2
1.0
3.183 2.893 6.348
4.096 -0.823 6.429
6.146 1.604 4.295
N Na Cs
2 1 1
Direct
0.103 0.103 0.103
0.897 0.897 0.897
0.500 0.500 0.500
0.000 0.000 0.000
```

Summary:
ρ = 3.28 g cm⁻³
E_form (uncorrected) = 1.7129 eV/atom
ΔE to the lowest computed polymorph = 4.551 kcal/mol of atoms
size of the total moment = 2.0 μB per formula unit

***

What did the fifth record say?
A plane-wave DFT calculation with PBE was carried out for a relaxed CsN crystal.

POSCAR file:
```
CsN
1.0
-1.061 -4.288 -1.423
3.395 -2.633 -2.139
2.629 -5.167 7.261
N Cs
2 2
Direct
0.453 0.124 0.964
0.547 0.876 0.036
0.215 0.752 0.783
0.785 0.248 0.217
```

Summary:
ρ = 2.76 g cm⁻³
E_form (uncorrected) = -0.0914 eV/atom
ΔE to the lowest computed polymorph = 0.000 kcal/mol of atoms
size of the total moment = 0.2 μB per formula unit

***

Which value of size of the total moment does entry 6 give?
2.0 μB per formula unit

***

Which formula does entry 2 have?
CsN2

***

What is the size of the total moment in the fourth record?
0.0 μB per formula unit